Entry 1:
! LaSc2Cu (PBE, relaxed); values from VASP
! SG: R-3m (166)
! DFT formation energy in meV per atom: 73
! Excess energy over the best structure of this formula in the dataset in kJ/mol of atoms: 14.6
&SYSTEM
  ibrav = 0, nat = 4, ntyp = 3
/
ATOMIC_SPECIES
La 138.91 La.upf
Sc 44.96 Sc.upf
Cu 63.55 Cu.upf
CELL_PARAMETERS angstrom
1.7509 1.0109 9.4287
-1.7509 1.0109 9.4287
0.0000 -2.0217 9.4287
ATOMIC_POSITIONS angstrom
La 0.0000 0.0000 0.0000
Sc 0.0000 0.0000 6.5019
Sc 0.0000 0.0000 21.7842
Cu 0.0000 0.0000 14.1431

=====

Entry 2:
! MgUOs (PBE, relaxed); values from VASP
! SG: Fmmm (69)
! DFT formation energy in meV per atom: 256
&SYSTEM
  ibrav = 0, nat = 6, ntyp = 3
/
ATOMIC_SPECIES
Mg 24.30 Mg.upf
U 238.03 U.upf
Os 190.23 Os.upf
CELL_PARAMETERS angstrom
0.0000 3.7143 5.9341
2.7570 0.0000 5.9341
2.7570 3.7143 0.0000
ATOMIC_POSITIONS angstrom
Mg 2.7570 1.3089 5.9341
Mg 2.7570 6.1196 5.9341
U 1.3785 1.8571 2.9670
U 4.1354 5.5714 8.9011
Os 2.7570 3.7143 4.5787
Os 2.7570 3.7143 7.2894

=====

Entry 3:
! BaCdS (PBE, relaxed); values from VASP
! SG: R-3m (166)
! Formation energy from raw total energies in eV/atom: -1.186
&SYSTEM
  ibrav = 0, nat = 6, ntyp = 3
/
ATOMIC_SPECIES
Ba 137.33 Ba.upf
Cd 112.41 Cd.upf
S 32.06 S.upf
CELL_PARAMETERS angstrom
2.6271 1.5167 8.8824
-2.6271 1.5167 8.8824
0.0000 -3.0335 8.8824
ATOMIC_POSITIONS angstrom
Ba 0.0000 0.0000 2.7230
Ba 0.0000 0.0000 23.9241
Cd 0.0000 0.0000 8.5927
Cd 0.0000 0.0000 18.0544
S 0.0000 0.0000 5.8483
S 0.0000 0.0000 20.7988

=====

Entry 4:
! TaReCl2 (PBE, relaxed); values from VASP
! SG: Pm (6)
! Formation energy from raw total energies in eV/atom: -0.496
! Excess energy over the best structure of this formula in the dataset in kJ/mol of atoms: 0.4
&SYSTEM
  ibrav = 0, nat = 4, ntyp = 3
/
ATOMIC_SPECIES
Ta 180.95 Ta.upf
Re 186.21 Re.upf
Cl 35.45 Cl.upf
CELL_PARAMETERS angstrom
3.0157 0.0000 0.0000
0.0000 3.3663 0.0000
-0.2594 0.0000 8.9659
ATOMIC_POSITIONS angstrom
Ta 0.0000 0.0000 0.0000
Re 1.7295 1.6831 7.3712
Cl 0.1316 1.6831 5.4867
Cl 1.6072 0.0000 1.9720

=====

Entry 5:
! Ce4TlTc (PBE, relaxed); values from VASP
! SG: C2/c (15)
! DFT formation energy in meV per atom: -126
&SYSTEM
  ibrav = 0, nat = 12, ntyp = 3
/
ATOMIC_SPECIES
Ce 140.12 Ce.upf
Tl 204.38 Tl.upf
Tc 98.00 Tc.upf
CELL_PARAMETERS angstrom
4.1874 -6.4468 0.0000
4.1874 6.4468 0.0000
-1.6700 0.0000 5.6876
ATOMIC_POSITIONS angstrom
Ce 1.7968 3.9409 5.0244
Ce 1.1081 1.1994 3.8492
Ce 4.0729 3.9409 3.5070
Ce 1.9431 -1.1994 1.0054
Ce 4.7616 1.1994 4.6822
Ce 2.6319 -3.9409 2.1806
Ce 5.5966 -1.1994 1.8384
Ce 4.9079 -3.9409 0.6632
Tl 3.7699 1.4884 1.4219
Tl 2.9349 -1.4884 4.2657
Tc 3.7699 6.2126 1.4219
Tc 2.9349 -6.2126 4.2657

=====

Entry 6:
! LiTlFe2N (PBE, relaxed); values from VASP
! SG: P4/mmm (123)
! Formation energy from raw total energies in eV/atom: -0.012
&SYSTEM
  ibrav = 0, nat = 5, ntyp = 4
/
ATOMIC_SPECIES
Li 6.94 Li.upf
Tl 204.38 Tl.upf
Fe 55.84 Fe.upf
N 14.01 N.upf
CELL_PARAMETERS angstrom
3.7523 0.0000 0.0000
0.0000 3.7523 0.0000
0.0000 0.0000 4.2233
ATOMIC_POSITIONS angstrom
Li 0.0000 0.0000 0.0000
Tl 1.8762 1.8762 0.0000
Fe 0.0000 1.8762 2.1117
Fe 1.8762 0.0000 2.1117
N 0.0000 0.0000 2.1117

=====

It is found that the calculated density values, taken in the order of the records, are 4.8 12.4 4.4 8.0 9.3 9.4 g/cm3.
It is found that the spin magnetization values, taken in the order of the records, are 0.00 1.39 0.00 0.00 0.87 0.54 μB per formula unit.
It is found that the electronic total energy values, taken in the order of the records, are -21.395 -23.346 -10.524 -29.980 -37.222 -29.592 eV per formula unit.